A plane-wave DFT calculation with PBE was carried out for a geometry-optimized CsBi2Pb structure.

Energy of formation in eV per atom: 0.0360

Lattice parameters (Å, degrees): 4.1019 4.1019 32.7273 90.00 90.00 120.00
Space group R-3m (No. 166, hexagonal axes)
Inequivalent atoms, fractional coordinates:
Cs 0.0000 0.0000 0.0000 (multiplicity 3)
Bi 0.0000 0.0000 0.2359 (multiplicity 6)
Pb 0.0000 0.0000 0.5000 (multiplicity 3)


A plane-wave DFT calculation with PBE was carried out for a geometry-optimized Cs3Bi4Pb4 structure.

Distance to the lowest polymorph of the same formula in meV per atom: 0
Energy of formation in eV per atom: -0.2123

Lattice parameters (Å, degrees): 5.250 5.810 16.990 80.17 81.23 90.00
Space group P-1 (No. 2)
Inequivalent atoms, fractional coordinates:
Cs 0.000 0.000 0.000 (multiplicity 1)
Cs 0.353 0.853 0.293 (multiplicity 2)
Bi 0.196 0.696 0.608 (multiplicity 2)
Bi 0.451 0.451 0.097 (multiplicity 2)
Pb 0.097 0.598 0.805 (multiplicity 2)
Pb 0.247 0.247 0.506 (multiplicity 2)


A plane-wave DFT calculation with PBE was carried out for a geometry-optimized Cs3Bi5Pb6 structure.

Energy of formation in eV per atom: -0.1642

Lattice parameters (Å, degrees): 5.301 15.564 14.414 90.00 90.00 90.00
Space group Pmmn (No. 59, origin choice 2)
Inequivalent atoms, fractional coordinates:
Cs 0.250 0.091 0.238 (multiplicity 4)
Cs 0.250 0.750 0.237 (multiplicity 2)
Bi 0.250 0.080 0.642 (multiplicity 4)
Bi 0.250 0.599 0.992 (multiplicity 4)
Bi 0.250 0.750 0.623 (multiplicity 2)
Pb 0.250 0.084 0.881 (multiplicity 4)
Pb 0.250 0.250 0.020 (multiplicity 2)
Pb 0.250 0.250 0.509 (multiplicity 2)
Pb 0.250 0.580 0.493 (multiplicity 4)


A plane-wave DFT calculation with PBE was carried out for a geometry-optimized Cs4Bi4Pb3 structure.

Energy of formation in eV per atom: -0.1101

Lattice parameters (Å, degrees): 40.703 5.975 3.613 90.00 94.88 90.00
Space group C2/m (No. 12)
Inequivalent atoms, fractional coordinates:
Cs 0.086 0.000 0.084 (multiplicity 4)
Cs 0.218 0.500 0.210 (multiplicity 4)
Bi 0.041 0.500 0.541 (multiplicity 4)
Bi 0.173 0.000 0.668 (multiplicity 4)
Pb 0.000 0.000 0.500 (multiplicity 2)
Pb 0.132 0.500 0.627 (multiplicity 4)


A plane-wave DFT calculation with PBE was carried out for a geometry-optimized CsBi2Pb structure.

Energy of formation in eV per atom: -0.1852

Lattice parameters (Å, degrees): 9.084 5.482 14.016 90.00 90.00 90.00
Space group Pnma (No. 62)
Inequivalent atoms, fractional coordinates:
Cs 0.152 0.250 0.126 (multiplicity 4)
Bi 0.167 0.250 0.836 (multiplicity 4)
Bi 0.179 0.250 0.412 (multiplicity 4)
Pb 0.015 0.250 0.628 (multiplicity 4)


A plane-wave DFT calculation with PBE was carried out for a geometry-optimized CsBi2Pb structure.

Energy of formation in eV per atom: 0.0083

Lattice parameters (Å, degrees): 9.592 9.592 7.288 90.00 90.00 90.00
Space group I-42d (No. 122)
Inequivalent atoms, fractional coordinates:
Cs 0.000 0.000 0.000 (multiplicity 4)
Bi 0.196 0.250 0.625 (multiplicity 8)
Pb 0.000 0.000 0.500 (multiplicity 4)


A plane-wave DFT calculation with PBE was carried out for a geometry-optimized Cs2Bi4Pb5 structure.

Distance to the lowest polymorph of the same formula in meV per atom: 35
Energy of formation in eV per atom: -0.0501

Lattice parameters (Å, degrees): 15.206 7.140 11.398 90.00 130.94 90.00
Space group C2/m (No. 12)
Inequivalent atoms, fractional coordinates:
Cs 0.030 0.000 0.263 (multiplicity 4)
Bi 0.081 0.500 0.466 (multiplicity 4)
Bi 0.157 0.500 0.893 (multiplicity 4)
Pb 0.000 0.500 0.000 (multiplicity 2)
Pb 0.247 0.228 0.769 (multiplicity 8)


A plane-wave DFT calculation with PBE was carried out for a geometry-optimized Cs5Bi4Pb2 structure.

Energy of formation in eV per atom: -0.2064

Lattice parameters (Å, degrees): 23.178 5.981 8.893 90.00 96.79 90.00
Space group C2/m (No. 12)
Inequivalent atoms, fractional coordinates:
Cs 0.000 0.000 0.000 (multiplicity 2)
Cs 0.156 0.500 0.987 (multiplicity 4)
Cs 0.170 0.500 0.472 (multiplicity 4)
Bi 0.010 0.500 0.670 (multiplicity 4)
Bi 0.194 0.000 0.759 (multiplicity 4)
Pb 0.071 0.000 0.607 (multiplicity 4)


A plane-wave DFT calculation with PBE was carried out for a geometry-optimized Cs6Bi4Pb structure.

Energy of formation in eV per atom: -0.2664

Lattice parameters (Å, degrees): 12.5402 12.5402 9.2380 90.00 90.00 120.00
Space group P6_3mc (No. 186)
Inequivalent atoms, fractional coordinates:
Cs 0.0430 0.5215 0.0000 (multiplicity 6)
Cs 0.1485 0.2970 0.3020 (multiplicity 6)
Bi 0.1974 0.3948 0.7174 (multiplicity 6)
Bi 0.3333 0.6667 0.3011 (multiplicity 2)
Pb 0.3333 0.6667 0.6315 (multiplicity 2)


A plane-wave DFT calculation with PBE was carried out for a geometry-optimized Cs2Bi3Pb9 structure.

Energy of formation in eV per atom: -0.0652

Lattice parameters (Å, degrees): 17.920 9.706 13.768 90.00 118.87 90.00
Space group C2/c (No. 15)
Inequivalent atoms, fractional coordinates:
Cs 0.175 0.085 0.233 (multiplicity 8)
Bi 0.089 0.224 0.507 (multiplicity 8)
Bi 0.250 0.250 0.000 (multiplicity 4)
Pb 0.000 0.349 0.250 (multiplicity 4)
Pb 0.052 0.099 0.889 (multiplicity 8)
Pb 0.090 0.422 0.016 (multiplicity 8)
Pb 0.092 0.352 0.738 (multiplicity 8)
Pb 0.214 0.406 0.431 (multiplicity 8)


A plane-wave DFT calculation with PBE was carried out for a geometry-optimized CsBi3Pb structure.

Distance to the lowest polymorph of the same formula in meV per atom: 0
Energy of formation in eV per atom: 0.3137

Lattice parameters (Å, degrees): 6.116 6.116 6.116 90.00 90.00 90.00
Space group Pm-3m (No. 221)
Inequivalent atoms, fractional coordinates:
Cs 0.000 0.000 0.000 (multiplicity 1)
Bi 0.000 0.500 0.500 (multiplicity 3)
Pb 0.500 0.500 0.500 (multiplicity 1)


A plane-wave DFT calculation with PBE was carried out for a geometry-optimized Cs5Bi4Pb4 structure.

Energy of formation in eV per atom: -0.2640

Lattice parameters (Å, degrees): 14.844 14.844 5.545 90.00 90.00 90.00
Space group I4/m (No. 87)
Inequivalent atoms, fractional coordinates:
Cs 0.000 0.000 0.000 (multiplicity 2)
Cs 0.145 0.209 0.500 (multiplicity 8)
Bi 0.038 0.725 0.000 (multiplicity 8)
Pb 0.057 0.600 0.500 (multiplicity 8)


A plane-wave DFT calculation with PBE was carried out for a geometry-optimized Cs3BiPb4 structure.

Energy of formation in eV per atom: -0.1820

Lattice parameters (Å, degrees): 6.947 8.495 12.523 90.00 90.00 90.00
Space group Imm2 (No. 44)
Inequivalent atoms, fractional coordinates:
Cs 0.000 0.000 0.000 (multiplicity 2)
Cs 0.000 0.240 0.651 (multiplicity 4)
Bi 0.000 0.500 0.101 (multiplicity 2)
Pb 0.000 0.314 0.328 (multiplicity 4)
Pb 0.245 0.000 0.387 (multiplicity 4)


A plane-wave DFT calculation with PBE was carried out for a geometry-optimized CsBi2Pb8 structure.

Distance to the lowest polymorph of the same formula in meV per atom: 49
Energy of formation in eV per atom: 0.1124

Lattice parameters (Å, degrees): 6.548 6.548 11.731 90.00 90.00 90.00
Space group P4/mmm (No. 123)
Inequivalent atoms, fractional coordinates:
Cs 0.000 0.000 0.000 (multiplicity 1)
Bi 0.000 0.500 0.500 (multiplicity 2)
Pb 0.252 0.252 0.293 (multiplicity 8)


A plane-wave DFT calculation with PBE was carried out for a geometry-optimized Cs2Bi3Pb5 structure.

Energy of formation in eV per atom: -0.1710

Lattice parameters (Å, degrees): 13.667 15.471 7.811 90.00 90.00 90.00
Space group Ibam (No. 72)
Inequivalent atoms, fractional coordinates:
Cs 0.247 0.124 0.000 (multiplicity 8)
Bi 0.000 0.000 0.250 (multiplicity 4)
Bi 0.130 0.375 0.000 (multiplicity 8)
Pb 0.000 0.253 0.250 (multiplicity 8)
Pb 0.000 0.500 0.250 (multiplicity 4)
Pb 0.127 0.125 0.500 (multiplicity 8)


A plane-wave DFT calculation with PBE was carried out for a geometry-optimized CsBiPb3 structure.

Distance to the lowest polymorph of the same formula in meV per atom: 0
Energy of formation in eV per atom: -0.1672

Lattice parameters (Å, degrees): 7.704 7.693 7.850 90.00 119.22 90.00
Space group Cm (No. 8)
Inequivalent atoms, fractional coordinates:
Cs 0.000 0.000 0.000 (multiplicity 2)
Bi 0.389 0.000 0.778 (multiplicity 2)
Pb 0.005 0.250 0.511 (multiplicity 4)
Pb 0.126 0.500 0.251 (multiplicity 2)


A plane-wave DFT calculation with PBE was carried out for a geometry-optimized CsBi2Pb structure.

Energy of formation in eV per atom: -0.1576

Lattice parameters (Å, degrees): 4.500 4.500 8.141 90.00 90.00 90.00
Space group P4/mmm (No. 123)
Inequivalent atoms, fractional coordinates:
Cs 0.000 0.000 0.000 (multiplicity 1)
Bi 0.500 0.500 0.320 (multiplicity 2)
Pb 0.000 0.000 0.500 (multiplicity 1)


A plane-wave DFT calculation with PBE was carried out for a geometry-optimized Cs3Bi4Pb2 structure.

Distance to the lowest polymorph of the same formula in meV per atom: 36
Energy of formation in eV per atom: -0.2487

Lattice parameters (Å, degrees): 14.940 5.284 10.962 90.00 105.42 90.00
Space group C2/m (No. 12)
Inequivalent atoms, fractional coordinates:
Cs 0.000 0.000 0.000 (multiplicity 2)
Cs 0.138 0.500 0.357 (multiplicity 4)
Bi 0.048 0.000 0.645 (multiplicity 4)
Bi 0.196 0.500 0.998 (multiplicity 4)
Pb 0.177 0.500 0.713 (multiplicity 4)


A plane-wave DFT calculation with PBE was carried out for a geometry-optimized Cs2BiPb structure.

Distance to the lowest polymorph of the same formula in meV per atom: 204
Energy of formation in eV per atom: -0.0439

Lattice parameters (Å, degrees): 13.980 13.980 6.134 90.00 90.00 90.00
Space group I-42d (No. 122)
Inequivalent atoms, fractional coordinates:
Cs 0.095 0.250 0.125 (multiplicity 8)
Bi 0.000 0.000 0.000 (multiplicity 4)
Pb 0.000 0.000 0.500 (multiplicity 4)


A plane-wave DFT calculation with PBE was carried out for a geometry-optimized CsBi2Pb4 structure.

Energy of formation in eV per atom: -0.1297

Lattice parameters (Å, degrees): 10.270 10.270 5.073 90.00 90.00 90.00
Space group P4_2/mnm (No. 136)
Inequivalent atoms, fractional coordinates:
Cs 0.000 0.000 0.000 (multiplicity 2)
Bi 0.222 0.222 0.500 (multiplicity 4)
Pb 0.073 0.657 0.500 (multiplicity 8)